# BaAcTmMg

A relaxed BaAcTmMg crystal (PBE, Alexandria).

Computed properties:
uncorrected energy = -11.20 eV per formula unit
DOS(E_F) = 14.279 states/eV per cell
calculated density = 6.1 g/cm³
formation energy from the elements = 224.0 meV/atom
total moment = 0.00 Bohr magnetons per cell

Cell: 8.484 8.484 8.484 Å, 90.00 90.00 90.00°
Space group F-43m (No. 216)
Symmetry-distinct sites (fractional):
Ba: 0.000 0.000 0.000 [4 per cell]
Ac: 0.250 0.250 0.250 [4 per cell]
Tm: 0.000 0.000 0.500 [4 per cell]
Mg: 0.250 0.250 0.750 [4 per cell]

=====

# BaAcYMg

A relaxed BaAcYMg crystal (PBE, Alexandria).

Computed properties:
uncorrected energy = -13.29 eV per formula unit
DOS(E_F) = 16.811 states/eV per cell
calculated density = 5.1 g/cm³
formation energy from the elements = 199.5 meV/atom
total moment = 0.00 Bohr magnetons per cell

Cell: 8.531 8.531 8.531 Å, 90.00 90.00 90.00°
Space group F-43m (No. 216)
Symmetry-distinct sites (fractional):
Ba: 0.000 0.000 0.000 [4 per cell]
Ac: 0.250 0.250 0.750 [4 per cell]
Y: 0.000 0.000 0.500 [4 per cell]
Mg: 0.250 0.250 0.250 [4 per cell]

=====

# BaAcMgZn

A relaxed BaAcMgZn crystal (PBE, Alexandria).

Computed properties:
uncorrected energy = -9.18 eV per formula unit
DOS(E_F) = 10.740 states/eV per cell
calculated density = 5.4 g/cm³
formation energy from the elements = -70.5 meV/atom
total moment = 0.00 Bohr magnetons per cell

Cell: 8.227 8.227 8.227 Å, 90.00 90.00 90.00°
Space group F-43m (No. 216)
Symmetry-distinct sites (fractional):
Ba: 0.000 0.000 0.000 [4 per cell]
Ac: 0.000 0.000 0.500 [4 per cell]
Mg: 0.250 0.250 0.750 [4 per cell]
Zn: 0.250 0.250 0.250 [4 per cell]